Here is a relaxed structure of Li5GaPb6 from Alexandria via LeMat-Bulk. Energies are from PBE-GGA. Values from VASP.

Structure (Quantum ESPRESSO input):
```
&SYSTEM
  ibrav = 0, nat = 12, ntyp = 3
/
ATOMIC_SPECIES
Pb 207.20 Pb.upf
Ga 69.72 Ga.upf
Li 6.94 Li.upf
ATOMIC_POSITIONS crystal
Pb 0.8308 0.5794 0.6615
Pb 0.5000 0.7442 0.0000
Pb 0.5000 0.2558 0.0000
Pb 0.8308 0.0821 0.6615
Pb 0.1692 0.9179 0.3385
Pb 0.1692 0.4206 0.3385
Ga 0.0000 0.0000 0.0000
Li 0.3321 0.3321 0.6643
Li 0.6679 0.6679 0.3357
Li 0.3400 0.8400 0.6800
Li 0.0000 0.5000 0.0000
Li 0.6600 0.1600 0.3200
CELL_PARAMETERS angstrom
4.8320 0.0193 -1.4095
-1.0057 6.4502 -3.3594
-0.0553 0.3979 8.8033
```

Results
ρ = 8.0 g/cm3
E_tot = -3.107 eV/atom
Energy of formation = -203 meV/atom